The following is a DFT calculation (meta-GGA SCAN) of a PBEsol-optimized structure of CaMoP2.

Cell and atoms, written as CIF:
```
data_CaMoP2
_chemical_formula_sum 'Ca2 Mo2 P4'
_cell_length_a 3.7392
_cell_length_b 3.7392
_cell_length_c 9.4323
_cell_angle_alpha 90.00
_cell_angle_beta 90.00
_cell_angle_gamma 90.00
_space_group_name_H-M_alt 'I -4 m 2'
_space_group_IT_number 119
_space_group_name_Hall 'I -4 -2'
loop_
_atom_site_label
_atom_site_fract_x
_atom_site_fract_y
_atom_site_fract_z
_atom_site_occupancy
Ca1 0.0000 0.0000 0.0000 1
Mo1 0.0000 0.5000 0.2500 1
P1 0.0000 0.0000 0.5000 1
P2 0.0000 0.5000 0.7500 1
```

**DOS at the Fermi energy**: 3.1 states/eV/cell
**Formation enthalpy at 0 K**: 0.22 eV/f.u.
**Distance to the lowest polymorph of the same formula**: 1.36 eV/f.u.
**Energy**: -65.129 eV per formula unit



The following is a DFT calculation (meta-GGA SCAN) of a PBEsol-optimized structure of CaMoP2.

Cell and atoms, written as CIF:
```
data_CaMoP2
_chemical_formula_sum 'Ca1 Mo1 P2'
_cell_length_a 3.4873
_cell_length_b 3.9109
_cell_length_c 5.0690
_cell_angle_alpha 90.00
_cell_angle_beta 90.00
_cell_angle_gamma 90.00
_space_group_name_H-M_alt 'P m m m'
_space_group_IT_number 47
loop_
_space_group_symop_operation_xyz
'x,y,z'
'-x,-y,-z'
'-x,-y,z'
'x,y,-z'
'x,-y,-z'
'-x,y,z'
'-x,y,-z'
'x,-y,z'
loop_
_atom_site_label
_atom_site_fract_x
_atom_site_fract_y
_atom_site_fract_z
_atom_site_occupancy
Ca1 0.0000 0.0000 0.0000 1
Mo1 0.5000 0.5000 0.5000 1
P1 0.0000 0.0000 0.5000 1
P2 0.5000 0.5000 0.0000 1
```

**DOS at the Fermi energy**: 2.3 states/eV/cell
**Formation enthalpy at 0 K**: -1.14 eV/f.u.
**Distance to the lowest polymorph of the same formula**: 0.00 eV/f.u.
**Energy**: -66.489 eV per formula unit



The following is a DFT calculation (meta-GGA SCAN) of a PBEsol-optimized structure of CaMo4P.

Cell and atoms, written as CIF:
```
data_CaMo4P
_chemical_formula_sum 'Ca4 Mo16 P4'
_cell_length_a 7.4417
_cell_length_b 7.4417
_cell_length_c 7.4417
_cell_angle_alpha 90.00
_cell_angle_beta 90.00
_cell_angle_gamma 90.00
_space_group_name_H-M_alt 'F -4 3 m'
_space_group_IT_number 216
_space_group_name_Hall 'F -4 2 3'
loop_
_atom_site_label
_atom_site_fract_x
_atom_site_fract_y
_atom_site_fract_z
_atom_site_occupancy
Ca1 0.0000 0.0000 0.0000 1
Mo1 0.1237 0.1237 0.3763 1
P1 0.2500 0.2500 0.7500 1
```

**DOS at the Fermi energy**: 21.2 states/eV/cell
**Formation enthalpy at 0 K**: 4.04 eV/f.u.
**Energy**: -155.559 eV per formula unit



The following is a DFT calculation (meta-GGA SCAN) of a PBEsol-optimized structure of CaMo2Pb.

Cell and atoms, written as CIF:
```
data_CaMo2Pb
_chemical_formula_sum 'Ca2 Mo4 Pb2'
_cell_length_a 8.3490
_cell_length_b 3.1683
_cell_length_c 6.7653
_cell_angle_alpha 90.00
_cell_angle_beta 97.44
_cell_angle_gamma 90.00
_space_group_name_H-M_alt 'C 1 m 1'
_space_group_IT_number 8
loop_
_space_group_symop_operation_xyz
'x,y,z'
'x,-y,z'
'x+1/2,y+1/2,z'
'x+1/2,-y+1/2,z'
loop_
_atom_site_label
_atom_site_fract_x
_atom_site_fract_y
_atom_site_fract_z
_atom_site_occupancy
Ca1 0.0000 0.0000 0.0000 1
Mo1 0.0018 0.5000 0.5656 1
Mo2 0.2324 0.0000 0.6988 1
Pb1 0.2562 0.5000 0.3213 1
```

**DOS at the Fermi energy**: 4.1 states/eV/cell
**Formation enthalpy at 0 K**: 1.80 eV/f.u.
**Energy**: -153.418 eV per formula unit



The following is a DFT calculation (meta-GGA SCAN) of a PBEsol-optimized structure of Ca2MoPb.

Cell and atoms, written as CIF:
```
data_Ca2MoPb
_chemical_formula_sum 'Ca6 Mo3 Pb3'
_cell_length_a 3.3133
_cell_length_b 3.3133
_cell_length_c 30.9814
_cell_angle_alpha 90.00
_cell_angle_beta 90.00
_cell_angle_gamma 120.00
_space_group_name_H-M_alt 'R -3 m'
_space_group_IT_number 166
_space_group_name_Hall '-R 3 2"'
loop_
_atom_site_label
_atom_site_fract_x
_atom_site_fract_y
_atom_site_fract_z
_atom_site_occupancy
Ca1 0.0000 0.0000 0.2446 1
Mo1 0.0000 0.0000 0.5000 1
Pb1 0.0000 0.0000 0.0000 1
```

**DOS at the Fermi energy**: 9.7 states/eV/cell
**Formation enthalpy at 0 K**: 1.93 eV/f.u.
**Energy**: -128.067 eV per formula unit



The following is a DFT calculation (meta-GGA SCAN) of a PBEsol-optimized structure of CaMo2Pb.

Cell and atoms, written as CIF:
```
data_CaMo2Pb
_chemical_formula_sum 'Ca2 Mo4 Pb2'
_cell_length_a 3.5754
_cell_length_b 4.5479
_cell_length_c 9.5721
_cell_angle_alpha 90.00
_cell_angle_beta 90.00
_cell_angle_gamma 90.00
_space_group_name_H-M_alt 'I m m m'
_space_group_IT_number 71
_space_group_name_Hall '-I 2 2'
loop_
_atom_site_label
_atom_site_fract_x
_atom_site_fract_y
_atom_site_fract_z
_atom_site_occupancy
Ca1 0.0000 0.0000 0.0000 1
Mo1 0.0000 0.5000 0.2457 1
Pb1 0.0000 0.0000 0.5000 1
```

**DOS at the Fermi energy**: 4.7 states/eV/cell
**Formation enthalpy at 0 K**: 2.85 eV/f.u.
**Energy**: -152.361 eV per formula unit



The following is a DFT calculation (meta-GGA SCAN) of a PBEsol-optimized structure of Ca2MoRhPb.

Cell and atoms, written as CIF:
```
data_Ca2MoRhPb
_chemical_formula_sum 'Ca2 Mo1 Rh1 Pb1'
_cell_length_a 5.0439
_cell_length_b 5.0439
_cell_length_c 5.2379
_cell_angle_alpha 90.00
_cell_angle_beta 90.00
_cell_angle_gamma 90.00
_space_group_name_H-M_alt 'P 4/m m m'
_space_group_IT_number 123
_space_group_name_Hall '-P 4 2'
loop_
_atom_site_label
_atom_site_fract_x
_atom_site_fract_y
_atom_site_fract_z
_atom_site_occupancy
Ca1 0.0000 0.5000 0.0000 1
Mo1 0.0000 0.0000 0.0000 1
Rh1 0.5000 0.5000 0.5000 1
Pb1 0.0000 0.0000 0.5000 1
```

**DOS at the Fermi energy**: 4.0 states/eV/cell
**Formation enthalpy at 0 K**: 5.68 eV/f.u.
**Energy**: -158.088 eV per formula unit



The following is a DFT calculation (meta-GGA SCAN) of a PBEsol-optimized structure of Ca2MoRuPb.

Cell and atoms, written as CIF:
```
data_Ca2MoRuPb
_chemical_formula_sum 'Ca2 Mo1 Ru1 Pb1'
_cell_length_a 5.5196
_cell_length_b 5.5196
_cell_length_c 4.4556
_cell_angle_alpha 90.00
_cell_angle_beta 90.00
_cell_angle_gamma 90.00
_space_group_name_H-M_alt 'P 4/m m m'
_space_group_IT_number 123
_space_group_name_Hall '-P 4 2'
loop_
_atom_site_label
_atom_site_fract_x
_atom_site_fract_y
_atom_site_fract_z
_atom_site_occupancy
Ca1 0.0000 0.5000 0.0000 1
Mo1 0.0000 0.0000 0.0000 1
Ru1 0.0000 0.0000 0.5000 1
Pb1 0.5000 0.5000 0.5000 1
```

**DOS at the Fermi energy**: 3.6 states/eV/cell
**Formation enthalpy at 0 K**: 3.60 eV/f.u.
**Energy**: -161.223 eV per formula unit



The following is a DFT calculation (meta-GGA SCAN) of a PBEsol-optimized structure of CaZnMo2Pb.

Cell and atoms, written as CIF:
```
data_CaZnMo2Pb
_chemical_formula_sum 'Ca1 Zn1 Mo2 Pb1'
_cell_length_a 5.1642
_cell_length_b 5.1642
_cell_length_c 5.5839
_cell_angle_alpha 90.00
_cell_angle_beta 90.00
_cell_angle_gamma 90.00
_space_group_name_H-M_alt 'P 4/m m m'
_space_group_IT_number 123
_space_group_name_Hall '-P 4 2'
loop_
_atom_site_label
_atom_site_fract_x
_atom_site_fract_y
_atom_site_fract_z
_atom_site_occupancy
Ca1 0.0000 0.0000 0.0000 1
Zn1 0.5000 0.5000 0.0000 1
Mo1 0.0000 0.5000 0.5000 1
Pb1 0.0000 0.0000 0.5000 1
```

**DOS at the Fermi energy**: 5.2 states/eV/cell
**Formation enthalpy at 0 K**: 8.51 eV/f.u.
**Energy**: -160.216 eV per formula unit



The following is a DFT calculation (meta-GGA SCAN) of a PBEsol-optimized structure of CaMoPt.

Cell and atoms, written as CIF:
```
data_CaMoPt
_chemical_formula_sum 'Ca2 Mo2 Pt2'
_cell_length_a 2.9390
_cell_length_b 2.9390
_cell_length_c 12.9037
_cell_angle_alpha 90.00
_cell_angle_beta 90.00
_cell_angle_gamma 90.00
_space_group_name_H-M_alt 'I 4 m m'
_space_group_IT_number 107
_space_group_name_Hall 'I 4 -2'
loop_
_atom_site_label
_atom_site_fract_x
_atom_site_fract_y
_atom_site_fract_z
_atom_site_occupancy
Ca1 0.0000 0.0000 0.0000 1
Mo1 0.0000 0.0000 0.3034 1
Pt1 0.0000 0.0000 0.6759 1
```

**DOS at the Fermi energy**: 4.7 states/eV/cell
**Formation enthalpy at 0 K**: 0.15 eV/f.u.
**Distance to the lowest polymorph of the same formula**: 0.00 eV/f.u.
**Energy**: -114.596 eV per formula unit